1.
LiTmBeGa (GGA-PBE, optimized geometry); energy of formation = -153 meV/atom; crystal system = cubic; SG = No. 216
1.0
-2.767 3.295 -1.089
-1.701 0.207 -4.094
-4.307 -0.845 -0.659
Be Tm Ga Li
1 1 1 1
Direct
0.500 0.500 0.500
0.750 0.750 0.750
0.250 0.250 0.250
0.000 0.000 0.000

---

2.
LiZrBe2Ga (GGA-PBE, optimized geometry); energy of formation = 234 meV/atom; crystal system = tetragonal; SG = No. 123
1.0
4.033 0.000 0.000
0.000 4.152 0.000
0.000 0.000 4.033
Be Ga Zr Li
2 1 1 1
Direct
0.000 0.000 0.500
0.500 0.000 0.000
0.000 0.500 0.000
0.500 0.500 0.500
0.000 0.000 0.000

---

3.
LuBeGa (GGA-PBE, optimized geometry); energy of formation = -405 meV/atom; energy above the most stable polymorph in this dataset = 0 meV per atom; crystal system = hexagonal; SG = No. 187
1.0
-0.479 2.551 2.364
-2.049 -2.632 2.425
4.085 0.408 0.388
Be Lu Ga
1 1 1
Direct
0.166 0.000 0.000
0.667 0.667 0.333
0.167 0.333 0.667

---

4.
LuBeGa (GGA-PBE, optimized geometry); energy of formation = -276 meV/atom; energy above the most stable polymorph in this dataset = 130 meV per atom; crystal system = cubic; SG = No. 216
1.0
4.242 0.000 0.000
2.121 3.673 0.000
2.121 1.224 3.463
Be Lu Ga
1 1 1
Direct
0.250 0.250 0.250
0.500 0.500 0.500
0.000 0.000 0.000

---

| no. | total moment (μB/f.u.) |
| --- | --- |
| 1 | 0.000 |
| 2 | 0.000 |
| 3 | 0.000 |
| 4 | 0.000 |